Here is crystalline HfInPb2 at its relaxed geometry from Alexandria. Energies are from PBE-GGA.

Results
Total DFT energy (no corrections) ... -4.69 eV/atom
DOS at the Fermi energy ... 2.9 states/eV/f.u.
Symmetry ... R-3m (166)
Size of the total moment ... 0.000 μB per formula unit
Formation enthalpy at 0 K ... 0.3366 eV/atom

abc: 12.104 12.104 12.104
angles: 15.75 15.75 15.75
Fractional positions:
1 Hf 0.000 0.000 0.000
2 In 0.500 0.500 0.500
3 Pb 0.084 0.084 0.084
4 Pb 0.916 0.916 0.916


Here is crystalline HfIn2Pb at its relaxed geometry from Alexandria. Energies are from PBE-GGA.

Results
Total DFT energy (no corrections) ... -4.50 eV/atom
DOS at the Fermi energy ... 2.9 states/eV/f.u.
Symmetry ... I-42d (122)
Size of the total moment ... 0.000 μB per formula unit
Formation enthalpy at 0 K ... 0.2870 eV/atom

abc: 6.662 6.662 6.662
angles: 101.94 101.94 125.90
Fractional positions:
1 Hf 0.000 0.000 0.000
2 Hf 0.750 0.250 0.500
3 In 0.114 0.625 0.989
4 In 0.375 0.364 0.489
5 In 0.636 0.125 0.011
6 In 0.875 0.886 0.511
7 Pb 0.250 0.750 0.500
8 Pb 0.500 0.500 0.000


Here is crystalline HfIn2Pb at its relaxed geometry from Alexandria. Energies are from PBE-GGA.

Results
Total DFT energy (no corrections) ... -4.51 eV/atom
DOS at the Fermi energy ... 2.3 states/eV/f.u.
Symmetry ... R3m (160)
Size of the total moment ... 0.000 μB per formula unit
Formation enthalpy at 0 K ... 0.2752 eV/atom

abc: 6.294 6.294 6.294
angles: 44.80 44.80 44.80
Fractional positions:
1 Hf 0.000 0.000 0.000
2 In 0.390 0.390 0.390
3 In 0.594 0.594 0.594
4 Pb 0.817 0.817 0.817


Here is crystalline Hf2InPb2 at its relaxed geometry from Alexandria. Energies are from PBE-GGA.

Results
Total DFT energy (no corrections) ... -5.80 eV/atom
DOS at the Fermi energy ... 3.6 states/eV/f.u.
Symmetry ... P4/mbm (127)
Size of the total moment ... 0.000 μB per formula unit
Relative energy among the computed polymorphs ... 0.1267 eV per atom
Formation enthalpy at 0 K ... 0.2142 eV/atom

abc: 8.896 8.896 3.249
angles: 90.00 90.00 90.00
Fractional positions:
1 Hf 0.126 0.374 0.000
2 Hf 0.374 0.874 0.000
3 Hf 0.626 0.126 0.000
4 Hf 0.874 0.626 0.000
5 In 0.000 0.000 0.500
6 In 0.500 0.500 0.500
7 Pb 0.168 0.668 0.500
8 Pb 0.332 0.168 0.500
9 Pb 0.668 0.832 0.500
10 Pb 0.832 0.332 0.500


Among the records above, which one has the lowest DOS at the Fermi energy? number 3


The lowest DOS at the Fermi energy belongs to which entry? number 3


Please write out number 3 again, unchanged.
Here is crystalline HfIn2Pb at its relaxed geometry from Alexandria. Energies are from PBE-GGA.

Results
Total DFT energy (no corrections) ... -4.51 eV/atom
DOS at the Fermi energy ... 2.3 states/eV/f.u.
Symmetry ... R3m (160)
Size of the total moment ... 0.000 μB per formula unit
Formation enthalpy at 0 K ... 0.2752 eV/atom

abc: 6.294 6.294 6.294
angles: 44.80 44.80 44.80
Fractional positions:
1 Hf 0.000 0.000 0.000
2 In 0.390 0.390 0.390
3 In 0.594 0.594 0.594
4 Pb 0.817 0.817 0.817